# 1
VASP calculation (SCAN) on a crystal of Ca9MgP7O28 relaxed with PBEsol.

## Properties
Total energy (eV/atom): -10.6475
Raw formation energy (eV per atom): -3.11

Lattice parameters (Å, degrees): 10.3250 10.3250 36.9769 90.00 90.00 120.00
Closest atoms and distances in Å follow each position.
Space group R3c (No. 161, hexagonal axes)
Asymmetric unit:
Ca (0.0267, 0.4991, 0.0000) [18 per cell]  6 O 2.34-2.57
Ca (0.0509, 0.5198, 0.1048) [18 per cell]  7 O 2.31-2.50
Ca (0.1802, 0.3891, 0.7353) [18 per cell]  7 O 2.33-2.60
Mg (0.0000, 0.0000, 0.0028) [6 per cell]  6 O 2.06-2.07
P (0.0000, 0.0000, 0.2452) [6 per cell]  4 O 1.55-1.56
P (0.0146, 0.4933, 0.3053) [18 per cell]  4 O 1.54-1.56
P (0.1588, 0.3517, 0.5355) [18 per cell]  4 O 1.54-1.56
O (0.0000, 0.0000, 0.2030) [6 per cell]  1 P 1.56
O (0.0008, 0.2713, 0.6165) [18 per cell]  1 P 1.55
O (0.0104, 0.2469, 0.1256) [18 per cell]  1 P 1.54
O (0.0128, 0.1481, 0.7583) [18 per cell]  1 P 1.55
O (0.0182, 0.2852, 0.8831) [18 per cell]  1 P 1.55
O (0.0513, 0.4810, 0.3451) [18 per cell]  1 P 1.54
O (0.0785, 0.1777, 0.5386) [18 per cell]  1 P 1.56
O (0.1084, 0.4145, 0.0568) [18 per cell]  1 P 1.54
O (0.1751, 0.0863, 0.9667) [18 per cell]  1 P 1.56
O (0.2000, 0.4091, 0.4960) [18 per cell]  1 P 1.56

***

# 2
VASP calculation (SCAN) on a crystal of LaZn2Re relaxed with PBEsol.

## Properties
Total energy (eV/atom): -35.1622
E above lowest polymorph (eV per atom): 0.000

Lattice parameters (Å, degrees): 2.8600 4.0185 6.2577 90.00 90.00 90.00
Closest atoms and distances in Å follow each position.
Space group Pmmm (No. 47)
Asymmetric unit:
La (0.0000, 0.0000, 0.0000) [1 per cell]  2 La 2.86, 2 Re 3.13, 8 Zn 3.13
Zn (0.5000, 0.5000, 0.3083) [2 per cell]  1 Zn 2.40
Re (0.0000, 0.0000, 0.5000) [1 per cell]  8 Zn 2.74, 2 Re 2.86

***

# 3
VASP calculation (SCAN) on a crystal of LiP2 relaxed with PBEsol.

## Properties
Total energy (eV/atom): -7.9725
E above lowest polymorph (eV per atom): 0.163

Lattice parameters (Å, degrees): 3.4100 16.8330 3.2506 90.00 90.00 90.00
Closest atoms and distances in Å follow each position.
Space group Cmcm (No. 63)
Asymmetric unit:
Li (0.0000, 0.1240, 0.2500) [4 per cell]  8 P 2.64-2.76
P (0.0000, 0.2565, 0.7500) [4 per cell]  4 P 2.37, 2 Li 2.64
P (0.0000, 0.4572, 0.2500) [4 per cell]  2 P 2.17

***

Q: Which D(E_F) values were calculated for the entries above? A: 38.4, 1.2, 3.3, in states/eV/cell.